(1)
AlIN2F | GGA-PBE | relaxed

```
AlIN2F
1.0
-2.387 -1.494 2.316
-1.642 -1.689 -2.783
4.121 -5.335 0.806
Al F N I
1 1 2 1
Direct
0.000 0.000 0.000
0.500 0.500 0.500
0.500 0.000 0.000
0.000 0.500 0.000
0.000 0.000 0.500
```

Results
total magnetic moment	0.000	μB per atom
raw formation energy	0.61	eV/atom
distance to the lowest polymorph of the same formula	613	meV/atom


(2)
Mn2TlPbI8 | GGA-PBE | relaxed

```
Mn2TlPbI8
1.0
-3.527 6.178 -2.533
-2.462 -3.460 6.244
6.413 6.079 5.897
I Mn Pb Tl
8 2 1 1
Direct
0.008 0.673 0.308
0.327 0.336 0.308
0.336 0.008 0.692
0.992 0.327 0.692
0.664 0.992 0.308
0.333 0.667 0.001
0.667 0.333 0.999
0.673 0.664 0.692
0.333 0.667 0.756
0.667 0.333 0.244
0.000 0.000 0.500
0.000 0.000 0.000
```

Results
total magnetic moment	0.750	μB per atom
raw formation energy	-0.43	eV/atom


(3)
DyErOsAu | GGA-PBE | relaxed

```
DyErOsAu
1.0
4.921 0.000 0.000
2.461 4.262 0.000
2.461 1.421 4.018
Dy Au Er Os
1 1 1 1
Direct
0.000 0.000 0.000
0.250 0.250 0.250
0.500 0.500 0.500
0.750 0.750 0.750
```

Results
total magnetic moment	0.000	μB per atom
formation energy from the elements	-2.01	eV/f.u.


(4)
Tb4Te3Rh | GGA-PBE | relaxed

```
Tb4Te3Rh
1.0
-4.194 1.283 5.858
0.360 -7.599 -1.227
7.026 -0.497 5.140
Te Rh Tb
6 2 8
Direct
0.250 0.500 0.387
0.750 0.000 0.384
0.750 0.500 0.122
0.250 0.500 0.878
0.250 0.000 0.616
0.750 0.500 0.613
0.250 0.000 0.114
0.750 0.000 0.886
0.971 0.227 0.661
0.471 0.227 0.339
0.507 0.214 0.888
0.993 0.786 0.888
0.493 0.786 0.112
0.007 0.214 0.112
0.029 0.773 0.339
0.529 0.773 0.661
```

Results
total magnetic moment	0.000	μB per atom
raw formation energy	-1.21	eV/atom


(5)
Li2Pr3Se4S2 | GGA-PBE | relaxed

```
Li2Pr3Se4S2
1.0
4.755 0.000 0.000
0.000 4.755 0.000
-2.377 -2.377 11.669
Pr S Li Se
3 2 2 4
Direct
0.174 0.174 0.349
0.826 0.826 0.651
0.000 0.000 0.000
0.708 0.708 0.417
0.292 0.292 0.583
0.610 0.610 0.219
0.390 0.390 0.781
0.583 0.083 0.166
0.917 0.417 0.834
0.083 0.583 0.166
0.417 0.917 0.834
```

Results
total magnetic moment	0.000	μB per atom
raw formation energy	-1.47	eV/atom


(6)
Cr2MoRh | GGA-PBE | relaxed

```
Cr2MoRh
1.0
-2.009 1.001 4.314
2.091 -2.270 3.758
0.941 3.054 -3.666
Cr Mo Rh
2 1 1
Direct
0.486 0.486 0.000
0.014 0.014 0.000
0.250 0.750 0.500
0.750 0.250 0.500
```

Results
total magnetic moment	0.000	μB per atom
formation energy from the elements	0.68	eV/f.u.


(7)
Ce4Ir2Br3 | GGA-PBE | relaxed

```
Ce4Ir2Br3
1.0
-0.767 -3.714 -1.556
2.193 0.367 3.444
-15.428 -0.979 9.911
Br Ce Ir
3 4 2
Direct
0.666 0.334 0.403
0.000 0.000 0.000
0.334 0.666 0.597
0.666 0.334 0.127
0.334 0.666 0.873
0.001 0.999 0.704
0.999 0.001 0.296
0.333 0.667 0.208
0.667 0.333 0.792
```

Results
total magnetic moment	0.367	μB per atom
raw formation energy	-1.20	eV/atom


(8)
Sm2CuSn4Pd3 | GGA-PBE | relaxed

```
Sm2CuSn4Pd3
1.0
4.495 0.000 0.000
0.000 4.495 0.000
0.000 0.000 11.001
Cu Sm Sn Pd
1 2 4 3
Direct
0.500 0.500 0.500
0.000 0.500 0.733
0.500 0.000 0.267
0.500 0.000 0.628
0.000 0.000 0.000
0.000 0.500 0.372
0.500 0.500 0.000
0.000 0.000 0.500
0.000 0.500 0.136
0.500 0.000 0.864
```

Results
total magnetic moment	0.000	μB per atom
formation energy from the elements	-6.59	eV/f.u.


Number 1: calculated total energy -4.15 eV/atom. Number 2: calculated total energy -3.49 eV/atom. Number 3: calculated total energy -6.42 eV/atom. Number 4: calculated total energy -5.63 eV/atom. Number 5: calculated total energy -5.14 eV/atom. Number 6: calculated total energy -9.19 eV/atom. Number 7: calculated total energy -6.36 eV/atom. Number 8: calculated total energy -5.17 eV/atom.